This record from Alexandria describes Li5Co5Sn2O12 after structural relaxation. The functional is PBE with a Hubbard U.

Unit cell a=5.2609 b=5.2609 c=10.0574 alpha=95.72 beta=95.72 gamma=120.51
Last column: nearest neighbours and their distance in Å.
Positions (direct):
1 Li 0.0000 0.0000 0.0000  6 O 2.13-2.21
2 Li 0.0976 0.4156 0.2452  6 O 2.11-2.32
3 Li 0.2374 0.2776 0.7488  5 O 2.06-2.26
4 Li 0.5844 0.9024 0.7548  6 O 2.11-2.32
5 Li 0.7224 0.7626 0.2512  5 O 2.06-2.26
6 Co 0.3353 0.6647 0.0000  6 O 1.95-2.03
7 Co 0.4067 0.0828 0.2459  6 O 2.09-2.23
8 Co 0.4960 0.5040 0.5000  6 O 2.12-2.15
9 Co 0.8290 0.1710 0.5000  6 O 2.10-2.18
10 Co 0.9172 0.5933 0.7541  6 O 2.09-2.23
11 Sn 0.1619 0.8381 0.5000  6 O 2.09-2.11
12 Sn 0.6663 0.3337 0.0000  6 O 2.08-2.11
13 O 0.0714 0.6977 0.1137  2 Co 1.95-2.09, 1 Sn 2.11, 1 Li 2.13
14 O 0.1204 0.1154 0.3754  1 Sn 2.09, 2 Li 2.11-2.19, 3 Co 2.13-2.18
15 O 0.2025 0.5542 0.6195  1 Sn 2.09, 3 Co 2.10-2.19, 2 Li 2.11
16 O 0.3023 0.9286 0.8863  2 Co 1.95-2.09, 1 Sn 2.11, 1 Li 2.13
17 O 0.3877 0.3933 0.1157  2 Co 2.03-2.23, 3 Li 2.06-2.14, 1 Sn 2.08
18 O 0.4458 0.7975 0.3805  1 Sn 2.09, 3 Co 2.10-2.19, 2 Li 2.11
19 O 0.5414 0.2183 0.6220  1 Sn 2.11, 3 Co 2.12-2.14, 2 Li 2.26-2.32
20 O 0.6067 0.6123 0.8843  2 Co 2.03-2.23, 3 Li 2.06-2.14, 1 Sn 2.08
21 O 0.6766 0.0274 0.1167  2 Co 1.97-2.12, 1 Sn 2.10, 1 Li 2.12
22 O 0.7817 0.4586 0.3780  1 Sn 2.11, 3 Co 2.12-2.14, 2 Li 2.26-2.32
23 O 0.8846 0.8796 0.6246  1 Sn 2.09, 2 Li 2.11-2.19, 3 Co 2.13-2.18
24 O 0.9726 0.3234 0.8833  2 Co 1.97-2.12, 1 Sn 2.10, 1 Li 2.12

Values from the calculation:
E_tot in eV per atom: -5.770